The following is a GGA+U calculation of an optimized crystal structure of V4OF11, from Alexandria.

a b c (Å): 5.047 4.973 10.379
angles (deg): 109.00 93.58 119.57
Last column: magnetic moment on the atom in μB.
Atoms (fractional coordinates):
V 0.945 0.139 0.749  1.91
V 0.396 0.503 0.491  1.91
V 0.910 0.602 0.239  1.23
V 0.103 0.010 0.010  1.86
O 0.889 0.783 0.130  -0.18
F 0.026 0.428 0.370  0.00
F 0.034 0.583 0.875  0.00
F 0.530 0.968 0.623  0.00
F 0.744 0.946 0.885  -0.01
F 0.172 0.329 0.622  0.00
F 0.664 0.681 0.368  0.00
F 0.519 0.156 0.126  0.01
F 0.295 0.042 0.376  0.01
F 0.161 0.442 0.135  0.00
F 0.308 0.216 0.877  0.00
F 0.807 0.672 0.622  -0.01

N(E_F): 0.00 states/eV/f.u.
energy above the most stable polymorph in this dataset: 0.0487 eV/atom
electronic total energy: -6.185 eV per atom
magnetic moment: 0.437 μB/atom